[1]
# Tm5GaNi PBE optimized geometry
# * energy of formation from the pure elements: -135 meV per atom
# * VASP energy: -64.2 eV for the cell shown
# * V: 363.14 Å³ per cell
# * crystal system: monoclinic
data_Tm5GaNi
_chemical_formula_sum 'Tm10 Ga2 Ni2'
_cell_length_a 6.288
_cell_length_b 6.288
_cell_length_c 10.911
_cell_angle_alpha 105.89
_cell_angle_beta 105.89
_cell_angle_gamma 62.70
_space_group_name_H-M_alt 'P 1'
_space_group_IT_number 1
_space_group_name_Hall 'P 1'
loop_
_atom_site_label
_atom_site_type_symbol
_atom_site_fract_x
_atom_site_fract_y
_atom_site_fract_z
Tm1 Tm 0.003 0.997 0.750
Tm2 Tm 0.056 0.401 0.641
Tm3 Tm 0.216 0.543 0.957
Tm4 Tm 0.401 0.056 0.141
Tm5 Tm 0.457 0.784 0.543
Tm6 Tm 0.543 0.216 0.457
Tm7 Tm 0.599 0.944 0.859
Tm8 Tm 0.784 0.457 0.043
Tm9 Tm 0.944 0.599 0.359
Tm10 Tm 0.997 0.003 0.250
Ga1 Ga 0.473 0.527 0.250
Ga2 Ga 0.527 0.473 0.750
Ni1 Ni 0.000 0.000 0.000
Ni2 Ni 0.000 0.000 0.500

[2]
# Tm11Ga9Ni4 PBE optimized geometry
# * energy of formation from the pure elements: -606 meV per atom
# * VASP energy: -114.1 eV for the cell shown
# * V: 487.50 Å³ per cell
# * crystal system: orthorhombic
data_Tm11Ga9Ni4
_chemical_formula_sum 'Tm11 Ga9 Ni4'
_cell_length_a 12.279
_cell_length_b 12.279
_cell_length_c 3.506
_cell_angle_alpha 90.00
_cell_angle_beta 90.00
_cell_angle_gamma 112.73
_space_group_name_H-M_alt 'P 1'
_space_group_IT_number 1
_space_group_name_Hall 'P 1'
loop_
_atom_site_label
_atom_site_type_symbol
_atom_site_fract_x
_atom_site_fract_y
_atom_site_fract_z
Tm1 Tm 0.000 0.000 0.000
Tm2 Tm 0.072 0.413 0.000
Tm3 Tm 0.165 0.835 0.000
Tm4 Tm 0.308 0.308 0.000
Tm5 Tm 0.374 0.626 0.000
Tm6 Tm 0.413 0.072 0.000
Tm7 Tm 0.587 0.928 0.000
Tm8 Tm 0.626 0.374 0.000
Tm9 Tm 0.692 0.692 0.000
Tm10 Tm 0.835 0.165 0.000
Tm11 Tm 0.928 0.587 0.000
Ga1 Ga 0.077 0.218 0.500
Ga2 Ga 0.164 0.630 0.500
Ga3 Ga 0.218 0.077 0.500
Ga4 Ga 0.370 0.836 0.500
Ga5 Ga 0.500 0.500 0.500
Ga6 Ga 0.630 0.164 0.500
Ga7 Ga 0.782 0.923 0.500
Ga8 Ga 0.836 0.370 0.500
Ga9 Ga 0.923 0.782 0.500
Ni1 Ni 0.244 0.448 0.500
Ni2 Ni 0.448 0.244 0.500
Ni3 Ni 0.552 0.756 0.500
Ni4 Ni 0.756 0.552 0.500

[3]
# Tm2Ga3Ni4 PBE optimized geometry
# * energy of formation from the pure elements: -569 meV per atom
# * VASP energy: -92.5 eV for the cell shown
# * V: 279.11 Å³ per cell
# * crystal system: orthorhombic
data_Tm2Ga3Ni4
_chemical_formula_sum 'Tm4 Ga6 Ni8'
_cell_length_a 7.882
_cell_length_b 7.882
_cell_length_c 7.068
_cell_angle_alpha 90.00
_cell_angle_beta 90.00
_cell_angle_gamma 140.53
_space_group_name_H-M_alt 'P 1'
_space_group_IT_number 1
_space_group_name_Hall 'P 1'
loop_
_atom_site_label
_atom_site_type_symbol
_atom_site_fract_x
_atom_site_fract_y
_atom_site_fract_z
Tm1 Tm 0.105 0.895 0.913
Tm2 Tm 0.395 0.605 0.413
Tm3 Tm 0.605 0.395 0.587
Tm4 Tm 0.895 0.105 0.087
Ga1 Ga 0.000 0.000 0.500
Ga2 Ga 0.016 0.484 0.750
Ga3 Ga 0.484 0.016 0.250
Ga4 Ga 0.500 0.500 0.000
Ga5 Ga 0.516 0.984 0.750
Ga6 Ga 0.984 0.516 0.250
Ni1 Ni 0.173 0.827 0.513
Ni2 Ni 0.182 0.318 0.750
Ni3 Ni 0.318 0.182 0.250
Ni4 Ni 0.327 0.673 0.013
Ni5 Ni 0.673 0.327 0.987
Ni6 Ni 0.682 0.818 0.750
Ni7 Ni 0.818 0.682 0.250
Ni8 Ni 0.827 0.173 0.487

[4]
# TmGa2Ni3 PBE optimized geometry
# * energy of formation from the pure elements: -560 meV per atom
# * VASP energy: -93.7 eV for the cell shown
# * V: 267.70 Å³ per cell
# * crystal system: hexagonal
data_TmGa2Ni3
_chemical_formula_sum 'Tm3 Ga6 Ni9'
_cell_length_a 8.867
_cell_length_b 8.867
_cell_length_c 3.931
_cell_angle_alpha 90.00
_cell_angle_beta 90.00
_cell_angle_gamma 120.00
_space_group_name_H-M_alt 'P 1'
_space_group_IT_number 1
_space_group_name_Hall 'P 1'
loop_
_atom_site_label
_atom_site_type_symbol
_atom_site_fract_x
_atom_site_fract_y
_atom_site_fract_z
Tm1 Tm 0.000 0.000 0.000
Tm2 Tm 0.333 0.667 0.500
Tm3 Tm 0.667 0.333 0.500
Ga1 Ga 0.000 0.319 0.500
Ga2 Ga 0.000 0.681 0.500
Ga3 Ga 0.319 0.000 0.500
Ga4 Ga 0.319 0.319 0.500
Ga5 Ga 0.681 0.000 0.500
Ga6 Ga 0.681 0.681 0.500
Ni1 Ni 0.000 0.500 0.000
Ni2 Ni 0.179 0.358 0.000
Ni3 Ni 0.179 0.821 0.000
Ni4 Ni 0.358 0.179 0.000
Ni5 Ni 0.500 0.000 0.000
Ni6 Ni 0.500 0.500 0.000
Ni7 Ni 0.642 0.821 0.000
Ni8 Ni 0.821 0.179 0.000
Ni9 Ni 0.821 0.642 0.000

[5]
# TmGa2Ni10 PBE optimized geometry
# * energy of formation from the pure elements: -232 meV per atom
# * VASP energy: -71.3 eV for the cell shown
# * V: 162.75 Å³ per cell
# * crystal system: orthorhombic
data_TmGa2Ni10
_chemical_formula_sum 'Tm1 Ga2 Ni10'
_cell_length_a 8.197
_cell_length_b 6.317
_cell_length_c 6.247
_cell_angle_alpha 81.45
_cell_angle_beta 49.64
_cell_angle_gamma 48.91
_space_group_name_H-M_alt 'P 1'
_space_group_IT_number 1
_space_group_name_Hall 'P 1'
loop_
_atom_site_label
_atom_site_type_symbol
_atom_site_fract_x
_atom_site_fract_y
_atom_site_fract_z
Tm1 Tm 0.000 0.000 0.000
Ga1 Ga 0.000 0.500 0.000
Ga2 Ga 0.500 0.000 0.500
Ni1 Ni 0.000 0.000 0.500
Ni2 Ni 0.003 0.648 0.352
Ni3 Ni 0.279 0.502 0.498
Ni4 Ni 0.352 0.997 0.003
Ni5 Ni 0.498 0.721 0.279
Ni6 Ni 0.500 0.500 0.000
Ni7 Ni 0.502 0.279 0.721
Ni8 Ni 0.648 0.003 0.997
Ni9 Ni 0.721 0.498 0.502
Ni10 Ni 0.997 0.352 0.648

[6]
# TmGa6Ni12 PBE optimized geometry
# * energy of formation from the pure elements: -224 meV per atom
# * VASP energy: -96.3 eV for the cell shown
# * V: 258.33 Å³ per cell
# * crystal system: trigonal
data_TmGa6Ni12
_chemical_formula_sum 'Tm1 Ga6 Ni12'
_cell_length_a 6.666
_cell_length_b 6.666
_cell_length_c 6.666
_cell_angle_alpha 105.12
_cell_angle_beta 105.12
_cell_angle_gamma 105.12
_space_group_name_H-M_alt 'P 1'
_space_group_IT_number 1
_space_group_name_Hall 'P 1'
loop_
_atom_site_label
_atom_site_type_symbol
_atom_site_fract_x
_atom_site_fract_y
_atom_site_fract_z
Tm1 Tm 0.000 0.000 0.000
Ga1 Ga 0.276 0.276 0.710
Ga2 Ga 0.276 0.710 0.276
Ga3 Ga 0.290 0.724 0.724
Ga4 Ga 0.710 0.276 0.276
Ga5 Ga 0.724 0.290 0.724
Ga6 Ga 0.724 0.724 0.290
Ni1 Ni 0.114 0.500 0.886
Ni2 Ni 0.114 0.886 0.500
Ni3 Ni 0.143 0.388 0.388
Ni4 Ni 0.388 0.143 0.388
Ni5 Ni 0.388 0.388 0.143
Ni6 Ni 0.500 0.114 0.886
Ni7 Ni 0.500 0.886 0.114
Ni8 Ni 0.612 0.612 0.857
Ni9 Ni 0.612 0.857 0.612
Ni10 Ni 0.857 0.612 0.612
Ni11 Ni 0.886 0.114 0.500
Ni12 Ni 0.886 0.500 0.114

[7]
# Tm2Ga3Ni2 PBE optimized geometry
# * energy of formation from the pure elements: -609 meV per atom
# * VASP energy: -33.9 eV for the cell shown
# * V: 121.17 Å³ per cell
# * crystal system: monoclinic
data_Tm2Ga3Ni2
_chemical_formula_sum 'Tm2 Ga3 Ni2'
_cell_length_a 5.351
_cell_length_b 5.351
_cell_length_c 6.732
_cell_angle_alpha 113.72
_cell_angle_beta 113.72
_cell_angle_gamma 44.25
_space_group_name_H-M_alt 'P 1'
_space_group_IT_number 1
_space_group_name_Hall 'P 1'
loop_
_atom_site_label
_atom_site_type_symbol
_atom_site_fract_x
_atom_site_fract_y
_atom_site_fract_z
Tm1 Tm 0.145 0.145 0.280
Tm2 Tm 0.855 0.855 0.720
Ga1 Ga 0.368 0.368 0.055
Ga2 Ga 0.500 0.500 0.500
Ga3 Ga 0.632 0.632 0.945
Ni1 Ni 0.135 0.135 0.708
Ni2 Ni 0.865 0.865 0.292

[8]
# Tm2Ga8Ni PBE optimized geometry
# * energy of formation from the pure elements: -475 meV per atom
# * VASP energy: -44.2 eV for the cell shown
# * V: 196.92 Å³ per cell
# * crystal system: tetragonal
data_Tm2Ga8Ni
_chemical_formula_sum 'Tm2 Ga8 Ni1'
_cell_length_a 4.236
_cell_length_b 4.236
_cell_length_c 10.972
_cell_angle_alpha 90.00
_cell_angle_beta 90.00
_cell_angle_gamma 90.00
_space_group_name_H-M_alt 'P 1'
_space_group_IT_number 1
_space_group_name_Hall 'P 1'
loop_
_atom_site_label
_atom_site_type_symbol
_atom_site_fract_x
_atom_site_fract_y
_atom_site_fract_z
Tm1 Tm 0.000 0.000 0.193
Tm2 Tm 0.000 0.000 0.807
Ga1 Ga 0.000 0.500 0.000
Ga2 Ga 0.000 0.500 0.380
Ga3 Ga 0.000 0.500 0.620
Ga4 Ga 0.500 0.000 0.000
Ga5 Ga 0.500 0.000 0.380
Ga6 Ga 0.500 0.000 0.620
Ga7 Ga 0.500 0.500 0.196
Ga8 Ga 0.500 0.500 0.804
Ni1 Ni 0.000 0.000 0.500

> Number 6 is which compound?

TmGa6Ni12